(1)
Entry from OQMD via LeMat-Bulk: an optimized crystal structure of SmNbCo (PBE-GGA).

Energy in eV/cell: -77.34

```
data_SmNbCo
_chemical_formula_sum 'Sm4 Nb4 Co4'
_symmetry_space_group_name_H-M 'F -4 3 m'
_symmetry_Int_Tables_number 216
_symmetry_space_group_name_Hall 'F -4 2 3'
_cell_length_a 6.312
_cell_length_b 6.312
_cell_length_c 6.312
_cell_angle_alpha 90.00
_cell_angle_beta 90.00
_cell_angle_gamma 90.00
loop_
_atom_site_label
_atom_site_type_symbol
_atom_site_fract_x
_atom_site_fract_y
_atom_site_fract_z
Sm1 Sm 0.000 0.000 0.000
Nb1 Nb 0.250 0.250 0.750
Co1 Co 0.000 0.000 0.500
```

(2)
Entry from OQMD via LeMat-Bulk: an optimized crystal structure of SmNbCo (PBE-GGA).

Energy in eV/cell: -70.88

```
data_SmNbCo
_chemical_formula_sum 'Sm4 Nb4 Co4'
_symmetry_space_group_name_H-M 'F -4 3 m'
_symmetry_Int_Tables_number 216
_symmetry_space_group_name_Hall 'F -4 2 3'
_cell_length_a 6.309
_cell_length_b 6.309
_cell_length_c 6.309
_cell_angle_alpha 90.00
_cell_angle_beta 90.00
_cell_angle_gamma 90.00
loop_
_atom_site_label
_atom_site_type_symbol
_atom_site_fract_x
_atom_site_fract_y
_atom_site_fract_z
Sm1 Sm 0.000 0.000 0.000
Nb1 Nb 0.250 0.250 0.250
Co1 Co 0.250 0.250 0.750
```

(3)
Entry from OQMD via LeMat-Bulk: an optimized crystal structure of TaNbCoSn (PBE-GGA).

Energy in eV/cell: -129.15

```
data_TaNbCoSn
_chemical_formula_sum 'Ta4 Nb4 Co4 Sn4'
_symmetry_space_group_name_H-M 'F -4 3 m'
_symmetry_Int_Tables_number 216
_symmetry_space_group_name_Hall 'F -4 2 3'
_cell_length_a 6.476
_cell_length_b 6.476
_cell_length_c 6.476
_cell_angle_alpha 90.00
_cell_angle_beta 90.00
_cell_angle_gamma 90.00
loop_
_atom_site_label
_atom_site_type_symbol
_atom_site_fract_x
_atom_site_fract_y
_atom_site_fract_z
Ta1 Ta 0.000 0.000 0.000
Nb1 Nb 0.250 0.250 0.250
Co1 Co 0.250 0.250 0.750
Sn1 Sn 0.000 0.000 0.500
```

(4)
Entry from OQMD via LeMat-Bulk: an optimized crystal structure of TaNbCo2Sn2 (PBE-GGA).

Energy in eV/cell: -184.02

```
data_TaNbCo2Sn2
_chemical_formula_sum 'Ta4 Nb4 Co8 Sn8'
_symmetry_space_group_name_H-M 'P 1 m 1'
_symmetry_Int_Tables_number 6
_cell_length_a 8.421
_cell_length_b 4.210
_cell_length_c 12.632
_cell_angle_alpha 90.00
_cell_angle_beta 109.47
_cell_angle_gamma 90.00
loop_
_symmetry_equiv_pos_as_xyz
'x,y,z'
'x,-y,z'
loop_
_atom_site_label
_atom_site_type_symbol
_atom_site_fract_x
_atom_site_fract_y
_atom_site_fract_z
Ta1 Ta 0.000 0.000 0.000
Ta2 Ta 0.125 0.500 0.750
Ta3 Ta 0.250 0.000 0.500
Ta4 Ta 0.500 0.000 0.000
Nb1 Nb 0.375 0.500 0.250
Nb2 Nb 0.625 0.500 0.750
Nb3 Nb 0.750 0.000 0.500
Nb4 Nb 0.875 0.500 0.250
Co1 Co 0.062 0.500 0.124
Co2 Co 0.188 0.000 0.875
Co3 Co 0.312 0.500 0.625
Co4 Co 0.437 0.000 0.375
Co5 Co 0.562 0.500 0.124
Co6 Co 0.688 0.000 0.875
Co7 Co 0.813 0.500 0.625
Co8 Co 0.938 0.000 0.375
Sn1 Sn 0.000 0.500 0.500
Sn2 Sn 0.125 0.000 0.250
Sn3 Sn 0.250 0.500 0.000
Sn4 Sn 0.375 0.000 0.750
Sn5 Sn 0.500 0.500 0.500
Sn6 Sn 0.625 0.000 0.250
Sn7 Sn 0.750 0.500 0.000
Sn8 Sn 0.875 0.000 0.750
```